VASP calculation (GGA-PBE) on a geometry-optimized AsPb3O6 structure.

a = 9.6096 Å, b = 12.2910 Å, c = 5.8514 Å
α = 90.00°, β = 90.00°, γ = 90.00°
Space group Cmc2_1 (No. 36)
Unique sites:
As: 0.0000 0.2036 0.0000 (multiplicity 4)
Pb: 0.0000 0.4105 0.5363 (multiplicity 4)
Pb: 0.2005 0.1035 0.5299 (multiplicity 8)
O: 0.0000 0.0659 0.9497 (multiplicity 4)
O: 0.0000 0.2333 0.2893 (multiplicity 4)
O: 0.1451 0.2588 0.8647 (multiplicity 8)
O: 0.1468 0.4924 0.2810 (multiplicity 8)

Output
Magnetic moment = 0.00 Bohr magnetons per cell
DFT total energy = -5.7143 eV/atom
Formation energy without anion corrections = -26.79 kcal/mol of atoms

VASP calculation (GGA-PBE) on a geometry-optimized TmSc4S6 structure.

a = 3.6620 Å, b = 12.1320 Å, c = 18.9652 Å
α = 90.00°, β = 90.00°, γ = 90.00°
Space group Cmcm (No. 63)
Unique sites:
Tm: 0.0000 0.1514 0.2500 (multiplicity 4)
Sc: 0.0000 0.0933 0.6251 (multiplicity 8)
Sc: 0.0000 0.3600 0.5392 (multiplicity 8)
S: 0.0000 0.0000 0.0000 (multiplicity 4)
S: 0.0000 0.1865 0.7500 (multiplicity 4)
S: 0.0000 0.2694 0.0872 (multiplicity 8)
S: 0.0000 0.4522 0.6637 (multiplicity 8)

Output
Magnetic moment = 0.00 Bohr magnetons per cell
DFT total energy = -6.9052 eV/atom
Formation energy without anion corrections = -44.85 kcal/mol of atoms

VASP calculation (GGA-PBE) on a geometry-optimized Sm5Sb4Pb structure.

a = 10.0182 Å, b = 10.0182 Å, c = 6.3354 Å
α = 90.00°, β = 90.00°, γ = 90.00°
Space group I4/m (No. 87)
Unique sites:
Sm: 0.0000 0.0000 0.0000 (multiplicity 2)
Sm: 0.1019 0.6957 0.5000 (multiplicity 8)
Sb: 0.1005 0.7001 0.0000 (multiplicity 8)
Pb: 0.0000 0.0000 0.5000 (multiplicity 2)

Output
Magnetic moment = 0.00 Bohr magnetons per cell
DFT total energy = -5.3933 eV/atom
Formation energy without anion corrections = -23.38 kcal/mol of atoms